# 1
A plane-wave DFT calculation with PBE-GGA was carried out for a relaxed TiNi2Au2 crystal.

abc: 6.291 6.291 3.799
angles: 90.00 90.00 90.00
Positions (direct):
1 Ni 0.369 0.869 0.000
2 Ni 0.869 0.631 0.000
3 Ni 0.631 0.131 0.000
4 Ni 0.131 0.369 0.000
5 Au 0.170 0.670 0.500
6 Au 0.670 0.830 0.500
7 Au 0.830 0.330 0.500
8 Au 0.330 0.170 0.500
9 Ti 0.000 0.000 0.000
10 Ti 0.500 0.500 0.000

Results
polymorph energy (0 for the lowest one) = 0.0 meV per atom
ΔH_f (0 K) = -0.7 eV per formula unit


# 2
A plane-wave DFT calculation with PBE-GGA was carried out for a relaxed RuPtI2 crystal.

abc: 6.098 6.098 7.368
angles: 65.55 65.55 90.00
Positions (direct):
1 I 0.612 0.125 0.250
2 I 0.138 0.625 0.250
3 I 0.375 0.388 0.750
4 I 0.875 0.862 0.750
5 Ru 0.500 0.500 0.000
6 Ru 0.250 0.750 0.500
7 Pt 0.000 0.000 0.000
8 Pt 0.750 0.250 0.500

Results
polymorph energy (0 for the lowest one) = 0.0 meV per atom
raw formation energy = 0.647 eV per atom


# 3
A plane-wave DFT calculation with PBE-GGA was carried out for a relaxed Tm2PuBe crystal.

abc: 3.365 3.365 10.795
angles: 81.03 81.03 60.00
Positions (direct):
1 Be 0.500 0.500 0.500
2 Tm 0.105 0.105 0.686
3 Tm 0.895 0.895 0.314
4 Pu 0.000 0.000 0.000

Results
polymorph energy (0 for the lowest one) = 311.3 meV per atom
ΔH_f (0 K) = 1.7 eV per formula unit


# 4
A plane-wave DFT calculation with PBE-GGA was carried out for a relaxed BaTl3Te3 crystal.

abc: 9.426 9.426 9.728
angles: 61.02 61.02 60.00
Positions (direct):
1 Ba 0.333 0.333 0.001
2 Ba 0.667 0.667 0.999
3 Tl 0.383 0.835 0.649
4 Tl 0.835 0.133 0.649
5 Tl 0.133 0.383 0.649
6 Tl 0.867 0.617 0.351
7 Tl 0.165 0.867 0.351
8 Tl 0.617 0.165 0.351
9 Te 0.313 0.521 0.248
10 Te 0.918 0.313 0.248
11 Te 0.521 0.918 0.248
12 Te 0.479 0.082 0.752
13 Te 0.082 0.687 0.752
14 Te 0.687 0.479 0.752

Results
raw formation energy = -0.610 eV per atom


# 5
A plane-wave DFT calculation with PBE-GGA was carried out for a relaxed PIF3 crystal.

abc: 4.288 4.288 4.288
angles: 90.00 90.00 90.00
Positions (direct):
1 I 0.500 0.500 0.500
2 P 0.000 0.000 0.000
3 F 0.000 0.500 0.000
4 F 0.000 0.000 0.500
5 F 0.500 0.000 0.000

Results
polymorph energy (0 for the lowest one) = 1110.2 meV per atom
raw formation energy = -0.727 eV per atom


# 6
A plane-wave DFT calculation with PBE-GGA was carried out for a relaxed Nd2PdRu3 crystal.

abc: 5.579 5.579 5.579
angles: 57.01 57.01 57.01
Positions (direct):
1 Nd 0.120 0.120 0.120
2 Nd 0.880 0.880 0.880
3 Pd 0.500 0.500 0.500
4 Ru 0.000 0.500 0.500
5 Ru 0.500 0.500 0.000
6 Ru 0.500 0.000 0.500

Results
ΔH_f (0 K) = -1.8 eV per formula unit


# 7
A plane-wave DFT calculation with PBE-GGA was carried out for a relaxed CeZrTeN2 crystal.

abc: 4.047 6.824 7.708
angles: 108.10 90.00 90.00
Positions (direct):
1 Ce 0.250 0.674 0.925
2 Ce 0.750 0.326 0.075
3 Zr 0.250 0.639 0.411
4 Zr 0.750 0.361 0.589
5 Te 0.250 0.045 0.732
6 Te 0.750 0.955 0.268
7 N 0.750 0.507 0.382
8 N 0.250 0.493 0.618
9 N 0.750 0.520 0.877
10 N 0.250 0.480 0.123

Results
raw formation energy = -1.472 eV per atom


# 8
A plane-wave DFT calculation with PBE-GGA was carried out for a relaxed Be2InAs crystal.

abc: 3.167 3.167 7.151
angles: 90.00 90.00 110.51
Positions (direct):
1 Be 0.000 0.000 0.951
2 Be 0.000 0.000 0.549
3 As 0.500 0.500 0.750
4 In 0.500 0.500 0.250

Results
polymorph energy (0 for the lowest one) = 309.4 meV per atom
ΔH_f (0 K) = 2.2 eV per formula unit


# 9
A plane-wave DFT calculation with PBE-GGA was carried out for a relaxed ZnIn2Cl crystal.

abc: 5.957 5.957 5.574
angles: 61.91 61.91 35.51
Positions (direct):
1 Cl 0.250 0.250 0.250
2 In 0.006 0.006 0.993
3 In 0.494 0.494 0.507
4 Zn 0.750 0.750 0.750

Results
polymorph energy (0 for the lowest one) = 85.3 meV per atom
raw formation energy = -0.175 eV per atom


# 10
A plane-wave DFT calculation with PBE-GGA was carried out for a relaxed Sr8Sn2H3 crystal.

abc: 6.026 10.828 9.280
angles: 125.69 108.02 90.00
Positions (direct):
1 Sr 0.852 0.585 0.170
2 Sr 0.148 0.415 0.830
3 Sr 0.870 0.145 0.289
4 Sr 0.130 0.855 0.711
5 Sr 0.663 0.671 0.788
6 Sr 0.663 0.117 0.788
7 Sr 0.337 0.883 0.212
8 Sr 0.337 0.329 0.212
9 Sn 0.513 0.284 0.567
10 Sn 0.487 0.716 0.433
11 H 0.500 0.000 0.000
12 H 0.000 0.350 0.000
13 H 0.000 0.650 0.000

Results
final energy = -2.773 eV per atom


# 11
A plane-wave DFT calculation with PBE-GGA was carried out for a relaxed Cr2NiN2 crystal.

abc: 2.685 5.443 12.848
angles: 90.00 90.00 90.00
Positions (direct):
1 Cr 0.250 0.611 0.924
2 Cr 0.250 0.111 0.576
3 Cr 0.750 0.389 0.076
4 Cr 0.750 0.889 0.424
5 Cr 0.250 0.160 0.931
6 Cr 0.250 0.660 0.569
7 Cr 0.750 0.840 0.069
8 Cr 0.750 0.340 0.431
9 Ni 0.250 0.612 0.269
10 Ni 0.250 0.112 0.231
11 Ni 0.750 0.388 0.731
12 Ni 0.750 0.888 0.769
13 N 0.250 0.622 0.417
14 N 0.250 0.122 0.083
15 N 0.750 0.378 0.583
16 N 0.750 0.878 0.917
17 N 0.250 0.627 0.128
18 N 0.250 0.127 0.372
19 N 0.750 0.373 0.872
20 N 0.750 0.873 0.628

Results
raw formation energy = -0.271 eV per atom


# 12
A plane-wave DFT calculation with PBE-GGA was carried out for a relaxed MgAs2Pb2 crystal.

abc: 7.694 7.694 4.433
angles: 90.00 90.00 90.00
Positions (direct):
1 Pb 0.149 0.649 0.500
2 Pb 0.649 0.851 0.500
3 Pb 0.851 0.351 0.500
4 Pb 0.351 0.149 0.500
5 As 0.329 0.829 0.000
6 As 0.829 0.671 0.000
7 As 0.671 0.171 0.000
8 As 0.171 0.329 0.000
9 Mg 0.000 0.000 0.000
10 Mg 0.500 0.500 0.000

Results
polymorph energy (0 for the lowest one) = 0.0 meV per atom
ΔH_f (0 K) = -0.1 eV per formula unit


# 13
A plane-wave DFT calculation with PBE-GGA was carried out for a relaxed CdGa3Se crystal.

abc: 5.135 5.135 5.135
angles: 90.00 90.00 90.00
Positions (direct):
1 Ga 0.000 0.500 0.000
2 Ga 0.000 0.000 0.500
3 Ga 0.500 0.000 0.000
4 Se 0.500 0.500 0.500
5 Cd 0.000 0.000 0.000

Results
polymorph energy (0 for the lowest one) = 0.0 meV per atom
raw formation energy = 0.317 eV per atom


# 14
A plane-wave DFT calculation with PBE-GGA was carried out for a relaxed Ba2H6PtAu crystal.

abc: 5.807 5.807 5.843
angles: 60.39 60.39 90.39
Positions (direct):
1 Ba 0.750 0.250 0.500
2 Ba 0.250 0.750 0.500
3 H 0.209 0.209 0.582
4 H 0.787 0.787 0.001
5 H 0.212 0.788 0.000
6 H 0.788 0.212 0.000
7 H 0.213 0.213 0.999
8 H 0.791 0.791 0.418
9 Pt 0.000 0.000 0.000
10 Au 0.500 0.500 0.000

Results
final energy = -3.819 eV per atom


# 15
A plane-wave DFT calculation with PBE-GGA was carried out for a relaxed K3ZrTa2O9 crystal.

abc: 5.797 5.797 7.106
angles: 90.00 90.00 120.00
Positions (direct):
1 K 0.333 0.667 0.667
2 K 0.000 0.000 0.000
3 K 0.667 0.333 0.333
4 Zr 0.000 0.000 0.500
5 Ta 0.333 0.667 0.166
6 Ta 0.667 0.333 0.834
7 O 0.828 0.172 0.675
8 O 0.828 0.657 0.675
9 O 0.343 0.172 0.675
10 O 0.657 0.828 0.325
11 O 0.172 0.343 0.325
12 O 0.172 0.828 0.325
13 O 0.500 0.000 0.000
14 O 0.000 0.500 0.000
15 O 0.500 0.500 0.000

Results
raw formation energy = -2.590 eV per atom


# 16
A plane-wave DFT calculation with PBE-GGA was carried out for a relaxed B2H6Br crystal.

abc: 8.320 6.422 8.320
angles: 61.03 105.33 61.03
Positions (direct):
1 B 0.296 0.847 0.155
2 B 0.845 0.653 0.704
3 B 0.704 0.153 0.845
4 B 0.155 0.347 0.296
5 H 0.251 0.441 0.264
6 H 0.736 0.059 0.749
7 H 0.749 0.559 0.736
8 H 0.264 0.941 0.251
9 H 0.252 0.089 0.490
10 H 0.510 0.411 0.748
11 H 0.748 0.911 0.510
12 H 0.490 0.589 0.252
13 H 0.118 0.883 0.087
14 H 0.913 0.617 0.882
15 H 0.882 0.117 0.913
16 H 0.087 0.383 0.118
17 Br 0.831 0.750 0.169
18 Br 0.169 0.250 0.831

Results
polymorph energy (0 for the lowest one) = 25.4 meV per atom


# 17
A plane-wave DFT calculation with PBE-GGA was carried out for a relaxed Ca2TcW crystal.

abc: 5.975 5.975 5.975
angles: 145.72 126.60 65.00
Positions (direct):
1 Ca 0.014 0.014 0.000
2 Ca 0.725 0.225 0.500
3 Tc 0.459 0.459 0.000
4 W 0.301 0.801 0.500

Results
polymorph energy (0 for the lowest one) = 164.4 meV per atom
ΔH_f (0 K) = 1.9 eV per formula unit


# 18
A plane-wave DFT calculation with PBE-GGA was carried out for a relaxed KZr2BS crystal.

abc: 4.939 4.330 4.939
angles: 90.00 90.00 90.00
Positions (direct):
1 K 0.500 0.500 0.500
2 B 0.000 0.500 0.000
3 S 0.000 0.000 0.000
4 Zr 0.000 0.000 0.500
5 Zr 0.500 0.000 0.000

Results
raw formation energy = 0.733 eV per atom


# 19
A plane-wave DFT calculation with PBE-GGA was carried out for a relaxed KAsRhSe2 crystal.

abc: 5.258 5.258 4.610
angles: 90.00 90.00 90.00
Positions (direct):
1 As 0.000 0.000 0.500
2 Rh 0.000 0.000 0.000
3 K 0.500 0.500 0.500
4 Se 0.000 0.500 0.000
5 Se 0.500 0.000 0.000

Results
polymorph energy (0 for the lowest one) = 0.0 meV per atom
raw formation energy = -0.146 eV per atom


# 20
A plane-wave DFT calculation with PBE-GGA was carried out for a relaxed TcOsRh2O crystal.

abc: 4.700 4.732 4.700
angles: 90.00 90.00 90.00
Positions (direct):
1 Rh 0.000 0.000 0.500
2 Rh 0.500 0.000 0.000
3 Os 0.000 0.000 0.000
4 Tc 0.000 0.500 0.000
5 O 0.500 0.500 0.500

Results
raw formation energy = 1.983 eV per atom


# 21
A plane-wave DFT calculation with PBE-GGA was carried out for a relaxed LiDy3Np3N8 crystal.

abc: 6.727 6.728 6.761
angles: 119.85 89.99 120.01
Positions (direct):
1 Li 0.000 0.000 0.500
2 Dy 0.000 0.000 0.000
3 Dy 0.000 0.500 0.000
4 Dy 0.500 0.500 0.000
5 Np 0.500 0.000 0.500
6 Np 0.500 0.500 0.500
7 Np 0.000 0.500 0.500
8 N 0.248 0.497 0.246
9 N 0.752 0.503 0.754
10 N 0.757 0.514 0.286
11 N 0.243 0.486 0.714
12 N 0.757 0.029 0.286
13 N 0.243 0.971 0.714
14 N 0.272 0.029 0.286
15 N 0.728 0.971 0.714

Results
raw formation energy = -1.056 eV per atom


# 22
A plane-wave DFT calculation with PBE-GGA was carried out for a relaxed PmNd6Ho3Tm2 crystal.

abc: 6.266 6.266 11.847
angles: 95.04 95.04 119.99
Positions (direct):
1 Pm 0.000 0.000 0.000
2 Nd 0.916 0.582 0.749
3 Nd 0.750 0.750 0.250
4 Nd 0.084 0.418 0.251
5 Nd 0.582 0.916 0.749
6 Nd 0.250 0.250 0.750
7 Nd 0.418 0.084 0.251
8 Ho 0.167 0.833 0.500
9 Ho 0.833 0.167 0.500
10 Ho 0.500 0.500 0.500
11 Tm 0.333 0.667 0.000
12 Tm 0.667 0.333 0.000

Results
ΔH_f (0 K) = 0.2 eV per formula unit


# 23
A plane-wave DFT calculation with PBE-GGA was carried out for a relaxed Ge2SbCl8 crystal.

abc: 6.813 7.498 7.498
angles: 91.78 97.25 97.25
Positions (direct):
1 Ge 0.579 0.709 0.709
2 Ge 0.421 0.291 0.291
3 Sb 0.000 0.000 0.000
4 Cl 0.231 0.315 0.992
5 Cl 0.769 0.008 0.685
6 Cl 0.246 0.846 0.846
7 Cl 0.754 0.154 0.154
8 Cl 0.231 0.992 0.315
9 Cl 0.769 0.685 0.008
10 Cl 0.771 0.554 0.554
11 Cl 0.229 0.446 0.446

Results
polymorph energy (0 for the lowest one) = 0.0 meV per atom
raw formation energy = -0.709 eV per atom